Record 1
Entry from Alexandria: a PBEsol-optimized structure of ReOs2Se (SCAN).

Unit cell a=2.7542 b=4.7152 c=9.4143 alpha=90.00 beta=90.00 gamma=90.00
Space group Cmm2 (No. 35)
Inequivalent atoms, fractional coordinates:
1 Re 0.0000 0.0000 0.0000 (multiplicity 2)
2 Os 0.0000 0.0000 0.4747 (multiplicity 2)
3 Os 0.0000 0.5000 0.2348 (multiplicity 2)
4 Se 0.0000 0.5000 0.7281 (multiplicity 2)

Computed properties:
* DOS(E_F): 3.558 states/eV/f.u.
* total DFT energy (no corrections): -57.802 eV/atom
* ρ: 17.5 g cm⁻³
* E_form (uncorrected): 3.7 eV per formula unit

Record 2
Entry from Alexandria: a PBEsol-optimized structure of ZnCoAs2 (SCAN).

Unit cell a=3.4316 b=3.4316 c=18.4968 alpha=90.00 beta=90.00 gamma=120.00
Space group R-3m (No. 166, hexagonal axes)
Inequivalent atoms, fractional coordinates:
1 Zn 0.0000 0.0000 0.0000 (multiplicity 3)
2 Co 0.0000 0.0000 0.5000 (multiplicity 3)
3 As 0.0000 0.0000 0.2356 (multiplicity 6)

Computed properties:
* formation enthalpy at 0 K: 0.02 eV/atom
* DOS(E_F): 1.543 states/eV/f.u.
* total DFT energy (no corrections): -17.777 eV/atom
* ρ: 7.2 g cm⁻³

Record 3
Entry from Alexandria: a PBEsol-optimized structure of ScCo3S (SCAN).

Unit cell a=4.3472 b=4.3472 c=4.3472 alpha=90.00 beta=90.00 gamma=90.00
Space group Pm-3m (No. 221)
Inequivalent atoms, fractional coordinates:
1 Sc 0.0000 0.0000 0.0000 (multiplicity 1)
2 Co 0.0000 0.0000 0.5000 (multiplicity 3)
3 S 0.5000 0.5000 0.5000 (multiplicity 1)

Computed properties:
* DOS(E_F): 3.005 states/eV/f.u.
* total DFT energy (no corrections): -13.597 eV/atom
* ρ: 5.1 g cm⁻³
* E_form (uncorrected): 7.8 eV per formula unit

Record 4
Entry from Alexandria: a PBEsol-optimized structure of SrCo2Si (SCAN).

Unit cell a=4.5906 b=4.5906 c=15.2846 alpha=90.00 beta=90.00 gamma=90.00
Space group I4_1/amd (No. 141, origin choice 2)
Inequivalent atoms, fractional coordinates:
1 Sr 0.0000 0.2500 0.3750 (multiplicity 4)
2 Co 0.0000 0.0000 0.0000 (multiplicity 8)
3 Si 0.0000 0.2500 0.8750 (multiplicity 4)

Computed properties:
* DOS(E_F): 4.382 states/eV/f.u.
* total DFT energy (no corrections): -16.636 eV/atom
* ρ: 4.8 g cm⁻³
* E_form (uncorrected): 0.4 eV per formula unit